The following is a PBE-GGA calculation of a geometry-optimized Ho4BiTeSe2 structure, from Alexandria.

Lattice parameters (Å, degrees): 7.272 4.210 7.399 90.00 109.16 90.00
Atoms (fractional coordinates):
Ho 0.237 0.000 0.219
Ho 0.258 0.500 0.779
Ho 0.742 0.500 0.221
Ho 0.763 0.000 0.781
Bi 0.000 0.000 0.500
Te 0.500 0.500 0.500
Se 0.000 0.500 0.000
Se 0.500 0.000 0.000

Summary:
symmetry: No. 10
DFT total energy: -5.422 eV/atom
ρ: 8.96 Mg/m³

---

The following is a PBE-GGA calculation of a geometry-optimized Ho6Bi3TeSe2 structure, from Alexandria.

Lattice parameters (Å, degrees): 7.467 7.467 7.449 99.66 99.66 119.83
Atoms (fractional coordinates):
Ho 0.073 0.420 0.762
Ho 0.228 0.228 0.228
Ho 0.420 0.073 0.762
Ho 0.580 0.927 0.238
Ho 0.772 0.772 0.772
Ho 0.927 0.580 0.238
Bi 0.000 0.000 0.500
Bi 0.340 0.660 0.500
Bi 0.660 0.340 0.500
Te 0.500 0.500 0.000
Se 0.169 0.831 0.000
Se 0.831 0.169 0.000

Summary:
symmetry: No. 12
DFT total energy: -5.286 eV/atom
ρ: 9.30 Mg/m³

---

The following is a PBE-GGA calculation of a geometry-optimized Ho8BiTe4Se3 structure, from Alexandria.

Lattice parameters (Å, degrees): 8.547 8.547 8.547 59.47 59.47 59.47
Atoms (fractional coordinates):
Ho 0.223 0.751 0.751
Ho 0.238 0.238 0.238
Ho 0.249 0.249 0.777
Ho 0.249 0.777 0.249
Ho 0.751 0.223 0.751
Ho 0.751 0.751 0.223
Ho 0.762 0.762 0.762
Ho 0.777 0.249 0.249
Bi 0.500 0.500 0.500
Te 0.000 0.000 0.000
Te 0.000 0.500 0.500
Te 0.500 0.000 0.500
Te 0.500 0.500 0.000
Se 0.000 0.000 0.500
Se 0.000 0.500 0.000
Se 0.500 0.000 0.000

Summary:
symmetry: No. 166
DFT total energy: -5.348 eV/atom
ρ: 8.66 Mg/m³

---

The following is a PBE-GGA calculation of a geometry-optimized Ho4TlBiSe2 structure, from Alexandria.

Lattice parameters (Å, degrees): 7.321 4.155 7.497 90.00 108.39 90.00
Atoms (fractional coordinates):
Ho 0.239 0.000 0.234
Ho 0.254 0.500 0.767
Ho 0.746 0.500 0.233
Ho 0.761 0.000 0.766
Tl 0.000 0.000 0.500
Bi 0.500 0.500 0.500
Se 0.000 0.500 0.000
Se 0.500 0.000 0.000

Summary:
symmetry: No. 10
DFT total energy: -5.047 eV/atom
ρ: 9.45 Mg/m³

---

Number 1: ΔE_f (raw) -11.07 eV/f.u.. Number 2: ΔE_f (raw) -14.22 eV/f.u.. Number 3: ΔE_f (raw) -22.05 eV/f.u.. Number 4: ΔE_f (raw) -8.84 eV/f.u..